Record 1
Entry from Alexandria: YCrW2 after structural relaxation (PBEsol).

Calculated values
space group = Cmm2, No. 35
energy above the most stable polymorph in this dataset = 0.000 eV/atom
E_tot = -10.674 eV/atom

a b c (Å): 2.7909 2.7909 9.1005
angles (deg): 90.00 90.00 110.61
Last column: nearest neighbours and their distance in Å.
Positions (direct):
Y  0.0000  0.0000  0.0000  4 Y 2.79, 2 Cr 2.88, 2 W 3.06
Cr  0.5000  0.5000  0.2643  2 W 2.49
W  0.0000  0.0000  0.4744  2 Cr 2.49, 2 W 2.69
W  0.5000  0.5000  0.7129  6 W 2.69-2.79


Record 2
Entry from Alexandria: YCrW after structural relaxation (PBEsol).

Calculated values
space group = F-43m, No. 216
E_tot = -9.333 eV/atom

a b c (Å): 4.3260 4.3260 4.3260
angles (deg): 60.00 60.00 60.00
Last column: nearest neighbours and their distance in Å.
Positions (direct):
Y  0.0000  0.0000  0.0000  4 Cr 2.65
Cr  0.7500  0.7500  0.7500  4 W 2.65, 4 Y 2.65
W  0.5000  0.5000  0.5000  4 Cr 2.65


no.,total moment (μB per cell)
1,0.00
2,0.00